No. 1
# PBE-GGA Sc2FeOs, optimized geometry
data_Sc2FeOs
_symmetry_space_group_name_H-M 'P m m 2'
_symmetry_Int_Tables_number 25
_cell_length_a 3.0188
_cell_length_b 4.1095
_cell_length_c 5.5130
_cell_angle_alpha 90.00
_cell_angle_beta 90.00
_cell_angle_gamma 90.00
loop_
_symmetry_equiv_pos_as_xyz
'x,y,z'
'-x,-y,z'
'-x,y,z'
'x,-y,z'
loop_
_atom_site_label
_atom_site_fract_x
_atom_site_fract_y
_atom_site_fract_z
Sc1 0.0000 0.0000 0.0000
Sc2 0.5000 0.5000 0.3261
Fe1 0.0000 0.0000 0.5385
Os1 0.5000 0.5000 0.8016
# Crystal system: orthorhombic
# D(E_F), states/eV/cell: 3.81
# Energy of formation, eV/atom: 0.088

No. 2
# PBE-GGA ScFeOs3, optimized geometry
data_ScFeOs3
_symmetry_space_group_name_H-M 'P m -3 m'
_symmetry_Int_Tables_number 221
_symmetry_space_group_name_Hall '-P 4 2 3'
_cell_length_a 4.4381
_cell_length_b 4.4381
_cell_length_c 4.4381
_cell_angle_alpha 90.00
_cell_angle_beta 90.00
_cell_angle_gamma 90.00
loop_
_atom_site_label
_atom_site_fract_x
_atom_site_fract_y
_atom_site_fract_z
Sc1 0.0000 0.0000 0.0000
Fe1 0.5000 0.5000 0.5000
Os1 0.0000 0.5000 0.5000
# Crystal system: cubic
# D(E_F), states/eV/cell: 7.12
# Energy of formation, eV/atom: 1.085
# E above lowest polymorph, kJ/mol of atoms: 0.0

No. 3
# PBE-GGA ScFeOs, optimized geometry
data_ScFeOs
_symmetry_space_group_name_H-M 'I 4 m m'
_symmetry_Int_Tables_number 107
_symmetry_space_group_name_Hall 'I 4 -2'
_cell_length_a 2.8175
_cell_length_b 2.8175
_cell_length_c 11.3856
_cell_angle_alpha 90.00
_cell_angle_beta 90.00
_cell_angle_gamma 90.00
loop_
_atom_site_label
_atom_site_fract_x
_atom_site_fract_y
_atom_site_fract_z
Sc1 0.0000 0.0000 0.0000
Fe1 0.0000 0.0000 0.3201
Os1 0.0000 0.0000 0.6930
# Crystal system: tetragonal
# D(E_F), states/eV/cell: 3.92
# Energy of formation, eV/atom: -0.043
# E above lowest polymorph, kJ/mol of atoms: 30.5

No. 4
# PBE-GGA Sc2Fe3Os, optimized geometry
data_Sc2Fe3Os
_symmetry_space_group_name_H-M 'R -3 m'
_symmetry_Int_Tables_number 166
_symmetry_space_group_name_Hall '-R 3 2"'
_cell_length_a 4.9607
_cell_length_b 4.9607
_cell_length_c 12.5090
_cell_angle_alpha 90.00
_cell_angle_beta 90.00
_cell_angle_gamma 120.00
loop_
_atom_site_label
_atom_site_fract_x
_atom_site_fract_y
_atom_site_fract_z
Sc1 0.0000 0.0000 0.1246
Fe1 0.0000 0.5000 0.0000
Os1 0.0000 0.0000 0.5000
# Crystal system: trigonal
# D(E_F), states/eV/cell: 11.71
# Energy of formation, eV/atom: -0.326

In kg/m3, the mass density values for the records above are, in order, 8157; 12755; 10694; 8363.
In eV per atom, the electronic total energy values for the records above are, in order, -8.0013; -8.6112; -8.7179; -8.5393.